An optimized crystal structure of TaAsSe2. Source: the Alexandria database, functional PBE-GGA.

Geometry as extended XYZ:
```
4
Lattice="9.1643 -0.0082 -0.0048 8.5674 3.2534 -0.0048 8.5674 1.5680 2.8507" Properties=species:S:1:pos:R:3 pbc="T T T"
Se 25.7800 4.7182 2.7849
Se 20.3273 3.7203 2.1959
Ta 13.2546 2.4259 1.4318
As 6.3860 1.1688 0.6899
```

Computed properties:
For the density of states at the Fermi level, the calculation gives 2.9 states/eV/cell. For the total DFT energy (no corrections), the calculation gives -24.21 eV/cell. Its space group is R3m, No. 160.

An optimized crystal structure of Ta2As2Se. Source: the Alexandria database, functional PBE-GGA.

Geometry as extended XYZ:
```
10
Lattice="7.2809 0.0000 0.0000 0.0000 7.2809 0.0000 0.0000 0.0000 3.4004" Properties=species:S:1:pos:R:3 pbc="T T T"
Se 0.0000 0.0000 0.0000
As 2.6190 1.0214 1.7002
As 1.0214 4.6618 1.7002
Ta 6.2091 4.7122 0.0000
As 4.6618 6.2595 1.7002
Ta 4.7122 1.0718 0.0000
As 6.2595 2.6190 1.7002
Ta 2.5686 6.2091 0.0000
Se 3.6404 3.6404 0.0000
Ta 1.0718 2.5686 0.0000
```

Computed properties:
For the density of states at the Fermi level, the calculation gives 4.1 states/eV/cell. For the total DFT energy (no corrections), the calculation gives -76.10 eV/cell. Its space group is P4/mbm, No. 127.

An optimized crystal structure of TaAs2Se. Source: the Alexandria database, functional PBE-GGA.

Geometry as extended XYZ:
```
4
Lattice="-1.6932 -0.6589 2.1915 2.5306 0.3739 1.2490 -2.2416 10.4560 1.4117" Properties=species:S:1:pos:R:3 pbc="T T T"
Se -0.1417 2.4715 2.0732
As -2.1091 9.8379 1.3283
Ta -1.2625 7.6995 2.7791
As -1.2533 5.8460 0.7893
```

Computed properties:
For the density of states at the Fermi level, the calculation gives 2.0 states/eV/cell. For the total DFT energy (no corrections), the calculation gives -24.61 eV/cell. Its space group is Cmmm, No. 65.

An optimized crystal structure of TaAs2Se. Source: the Alexandria database, functional PBE-GGA.

Geometry as extended XYZ:
```
4
Lattice="4.8913 -0.0211 0.0000 -1.7591 4.5641 0.0000 0.0000 0.0000 3.2626" Properties=species:S:1:pos:R:3 pbc="T T T"
As 0.0000 0.0000 0.0000
Ta -0.8795 2.2821 1.6313
Se 2.4457 -0.0105 1.6313
As 1.5661 2.2715 0.0000
```

Computed properties:
For the density of states at the Fermi level, the calculation gives 2.7 states/eV/cell. For the total DFT energy (no corrections), the calculation gives -23.30 eV/cell. Its space group is Cmmm, No. 65.

no.,formation energy (no corrections) (eV/atom)
1,-0.184
2,-0.312
3,0.007
4,0.334